# Te2AuSe

Crystalline Te2AuSe at its relaxed geometry (PBE, Alexandria).

The value obtained for the energy above the most stable polymorph in this dataset is 0.117 eV/atom. Its uncorrected formation energy is 0.102 eV/atom.

It has space group R-3m (No. 166, hexagonal axes), with a = 4.2376 Å, b = 4.2376 Å, c = 24.6658 Å, α = 90.00°, β = 90.00° and γ = 120.00°. Symmetry generates all atoms from Te at (0.0000, 0.0000, 0.1072), Au at (0.0000, 0.0000, 0.5000) and Se at (0.0000, 0.0000, 0.0000).